(1)
First-principles (meta-GGA SCAN) data for a crystal of LiTa2Co relaxed with PBEsol, as listed in Alexandria.

Results
Total energy in eV/atom: -37.922
Total magnetic moment in μB/cell: 0.00
Calculated volume in Å³/atom: 14.5
Formation energy from the elements in meV per atom: 293

a = 3.2820 Å, b = 4.3439 Å, c = 4.9020 Å
α = 116.30°, β = 109.56°, γ = 90.00°
With the nearest neighbours (Å) after each atom.
Positions (direct):
Co: 0.0000 0.5000 0.0000  4 Ta 2.49, 4 Li 2.72
Li: 0.5000 0.0000 0.0000  4 Co 2.72, 8 Ta 2.75-2.86
Ta: 0.7289 0.7289 0.4579  2 Co 2.49, 4 Ta 2.74, 2 Li 2.75
Ta: 0.2711 0.2711 0.5421  2 Co 2.49, 4 Ta 2.74, 2 Li 2.75


(2)
First-principles (meta-GGA SCAN) data for a crystal of LiTa2Co relaxed with PBEsol, as listed in Alexandria.

Results
Total energy in eV/atom: -37.934
Total magnetic moment in μB/cell: 0.00
Calculated volume in Å³/atom: 14.0
Formation energy from the elements in meV per atom: 281

a = 3.4460 Å, b = 4.0251 Å, c = 4.0251 Å
α = 90.00°, β = 90.00°, γ = 90.00°
With the nearest neighbours (Å) after each atom.
Positions (direct):
Co: 0.5000 0.5000 0.5000  8 Ta 2.65, 4 Li 2.85
Li: 0.5000 0.0000 0.0000  8 Ta 2.65, 4 Co 2.85
Ta: 0.0000 0.0000 0.5000  4 Co 2.65, 4 Li 2.65, 4 Ta 2.85
Ta: 0.0000 0.5000 0.0000  4 Li 2.65, 4 Co 2.65, 4 Ta 2.85


(3)
First-principles (meta-GGA SCAN) data for a crystal of LiTa2Co relaxed with PBEsol, as listed in Alexandria.

Results
Total energy in eV/atom: -37.922
Total magnetic moment in μB/cell: 0.00
Calculated volume in Å³/atom: 14.2
Formation energy from the elements in meV per atom: 293

a = 2.7394 Å, b = 3.7099 Å, c = 5.5914 Å
α = 90.00°, β = 90.00°, γ = 90.00°
With the nearest neighbours (Å) after each atom.
Positions (direct):
Co: 0.5000 0.5000 0.0000  8 Ta 2.66, 2 Co 2.74, 2 Li 2.80
Li: 0.5000 0.5000 0.5000  8 Ta 2.73, 2 Li 2.74, 2 Co 2.80
Ta: 0.0000 0.0000 0.7619  4 Co 2.66, 4 Ta 2.66-2.93, 4 Li 2.73
Ta: 0.0000 0.0000 0.2381  4 Co 2.66, 4 Ta 2.66-2.93, 4 Li 2.73


Q: Among the records above, which one has the lowest total energy?
A: number 2